Record 1
An optimized crystal structure of Ac3Sn5Pb, computed with PBE.

Summary:
* formation energy: -4.1 eV per formula unit
* magnetization: 0.00 μB per cell

Lattice parameters (Å, degrees): 6.888 9.915 9.915 120.00 90.00 90.00
Element x y z (fractional)
Sn  0.000  0.333  0.667
Sn  0.000  0.667  0.333
Sn  0.750  0.707  0.000
Sn  0.500  0.333  0.667
Sn  0.750  0.293  0.293
Sn  0.250  0.707  0.707
Sn  0.750  0.000  0.707
Sn  0.250  0.293  0.000
Sn  0.250  0.000  0.293
Sn  0.500  0.667  0.333
Ac  0.250  0.000  0.628
Ac  0.750  0.372  0.000
Ac  0.750  0.000  0.372
Ac  0.750  0.628  0.628
Ac  0.250  0.628  0.000
Ac  0.250  0.372  0.372
Pb  0.000  0.000  0.000
Pb  0.500  0.000  0.000

***

Record 2
An optimized crystal structure of Ac6Sn3Pb2, computed with PBE.

Summary:
* formation energy: -2.0 eV per formula unit
* magnetization: 0.00 μB per cell

Lattice parameters (Å, degrees): 6.583 6.583 11.846 106.13 106.13 90.00
Element x y z (fractional)
Ac  0.406  0.906  0.811
Ac  0.594  0.094  0.189
Ac  0.281  0.281  0.562
Ac  0.906  0.406  0.811
Ac  0.719  0.719  0.438
Ac  0.094  0.594  0.189
Pb  0.431  0.431  0.862
Pb  0.569  0.569  0.138
Sn  0.136  0.136  0.271
Sn  0.864  0.864  0.729
Sn  0.000  0.000  0.000

***

Record 3
An optimized crystal structure of Ac5Sn2Pb5, computed with PBE.

Summary:
* formation energy: -6.0 eV per formula unit
* magnetization: 0.00 μB per cell

Lattice parameters (Å, degrees): 4.957 9.197 10.122 82.78 75.82 74.37
Element x y z (fractional)
Pb  0.238  0.711  0.813
Pb  0.762  0.289  0.187
Pb  0.000  0.000  0.000
Pb  0.933  0.797  0.336
Pb  0.067  0.203  0.664
Sn  0.138  0.476  0.248
Sn  0.862  0.524  0.752
Ac  0.702  0.930  0.665
Ac  0.383  0.307  0.926
Ac  0.298  0.070  0.335
Ac  0.500  0.500  0.500
Ac  0.617  0.693  0.074

***

Record 4
An optimized crystal structure of AcSn2Pb4, computed with PBE.

Summary:
* formation energy: -1.3 eV per formula unit
* magnetization: 0.00 μB per cell

Lattice parameters (Å, degrees): 4.840 4.728 10.335 103.22 90.00 90.00
Element x y z (fractional)
Pb  0.000  0.678  0.355
Pb  0.500  0.179  0.358
Pb  0.000  0.322  0.645
Pb  0.500  0.821  0.642
Ac  0.000  0.000  0.000
Sn  0.500  0.572  0.143
Sn  0.500  0.428  0.857

***

Record 5
An optimized crystal structure of Ac3SnPb2, computed with PBE.

Summary:
* E above lowest polymorph: 9 meV per atom
* formation energy: -3.0 eV per formula unit
* magnetization: 0.00 μB per cell

Lattice parameters (Å, degrees): 6.953 6.895 9.770 101.17 110.84 90.00
Element x y z (fractional)
Pb  0.772  0.065  0.325
Pb  0.552  0.565  0.325
Pb  0.228  0.935  0.675
Pb  0.448  0.435  0.675
Ac  0.048  0.610  0.335
Ac  0.364  0.750  0.000
Ac  0.636  0.250  0.000
Ac  0.713  0.890  0.665
Ac  0.952  0.390  0.665
Ac  0.287  0.110  0.335
Sn  0.134  0.250  0.000
Sn  0.866  0.750  0.000

***

Record 6
An optimized crystal structure of Ac2SnPb, computed with PBE.

Summary:
* formation energy: -2.5 eV per formula unit
* magnetization: 0.00 μB per cell

Lattice parameters (Å, degrees): 4.650 6.740 10.051 111.93 90.00 90.00
Element x y z (fractional)
Sn  0.750  0.672  0.293
Sn  0.250  0.328  0.707
Ac  0.250  0.769  0.071
Ac  0.250  0.775  0.566
Ac  0.750  0.231  0.929
Ac  0.750  0.225  0.434
Pb  0.250  0.323  0.206
Pb  0.750  0.677  0.794

***

Record 7
An optimized crystal structure of Ac8Sn2Pb, computed with PBE.

Summary:
* formation energy: -3.4 eV per formula unit
* magnetization: 0.00 μB per cell

Lattice parameters (Å, degrees): 5.529 7.755 11.046 101.97 104.49 90.00
Element x y z (fractional)
Pb  0.500  0.000  0.000
Ac  0.593  0.468  0.187
Ac  0.407  0.532  0.813
Ac  0.026  0.766  0.051
Ac  0.974  0.234  0.949
Ac  0.787  0.667  0.574
Ac  0.338  0.006  0.677
Ac  0.213  0.333  0.426
Ac  0.662  0.994  0.323
Sn  0.185  0.755  0.370
Sn  0.815  0.245  0.630

***

Record 8
An optimized crystal structure of Ac3Sn2Pb3, computed with PBE.

Summary:
* formation energy: -3.4 eV per formula unit
* magnetization: 0.00 μB per cell

Lattice parameters (Å, degrees): 5.131 7.201 16.073 90.00 90.00 110.87
Element x y z (fractional)
Ac  0.643  0.286  0.019
Ac  0.513  0.027  0.250
Ac  0.357  0.714  0.519
Ac  0.487  0.973  0.750
Ac  0.357  0.714  0.981
Ac  0.643  0.286  0.481
Pb  0.957  0.913  0.097
Pb  0.786  0.572  0.250
Pb  0.214  0.428  0.750
Pb  0.043  0.087  0.597
Pb  0.043  0.087  0.903
Pb  0.957  0.913  0.403
Sn  0.817  0.633  0.656
Sn  0.183  0.367  0.156
Sn  0.817  0.633  0.844
Sn  0.183  0.367  0.344

***

Record 9
An optimized crystal structure of Ac4SnPb4, computed with PBE.

Summary:
* formation energy: -2.3 eV per formula unit
* magnetization: 0.00 μB per cell

Lattice parameters (Å, degrees): 8.937 8.937 7.734 125.29 125.29 90.00
Element x y z (fractional)
Ac  0.917  0.403  0.320
Ac  0.083  0.083  0.680
Ac  0.403  0.917  0.320
Ac  0.597  0.597  0.680
Pb  0.500  0.000  0.000
Pb  0.336  0.336  0.672
Pb  0.000  0.500  0.000
Pb  0.664  0.664  0.328
Sn  0.000  0.000  0.000

***

Record 10
An optimized crystal structure of AcSn3Pb3, computed with PBE.

Summary:
* E above lowest polymorph: 479 meV per atom
* formation energy: 2.4 eV per formula unit
* magnetization: 0.00 μB per cell

Lattice parameters (Å, degrees): 8.312 8.312 8.312 90.00 90.00 90.00
Element x y z (fractional)
Pb  0.000  0.500  0.750
Pb  0.000  0.500  0.250
Pb  0.500  0.750  0.000
Pb  0.500  0.250  0.000
Pb  0.250  0.000  0.500
Pb  0.750  0.000  0.500
Sn  0.500  0.000  0.750
Sn  0.250  0.500  0.000
Sn  0.000  0.750  0.500
Sn  0.500  0.000  0.250
Sn  0.000  0.250  0.500
Sn  0.750  0.500  0.000
Ac  0.500  0.500  0.500
Ac  0.000  0.000  0.000

***

Record 11
An optimized crystal structure of Ac7Sn2Pb, computed with PBE.

Summary:
* formation energy: -2.5 eV per formula unit
* magnetization: 0.00 μB per cell

Lattice parameters (Å, degrees): 5.799 5.799 13.983 90.00 90.00 120.00
Element x y z (fractional)
Ac  0.667  0.333  0.849
Ac  0.000  0.000  0.274
Ac  0.333  0.667  0.960
Ac  0.667  0.333  0.588
Ac  0.667  0.333  0.115
Ac  0.333  0.667  0.438
Ac  0.000  0.000  0.734
Sn  0.667  0.333  0.352
Sn  0.333  0.667  0.695
Pb  0.000  0.000  0.011

***

Record 12
An optimized crystal structure of Ac8SnPb2, computed with PBE.

Summary:
* formation energy: -3.1 eV per formula unit
* magnetization: 0.00 μB per cell

Lattice parameters (Å, degrees): 5.627 7.617 11.110 101.32 104.67 90.00
Element x y z (fractional)
Ac  0.342  0.001  0.684
Ac  0.212  0.335  0.424
Ac  0.410  0.538  0.819
Ac  0.658  0.999  0.316
Ac  0.590  0.462  0.181
Ac  0.977  0.231  0.953
Ac  0.023  0.769  0.047
Ac  0.788  0.665  0.576
Pb  0.815  0.232  0.630
Pb  0.185  0.768  0.370
Sn  0.500  0.000  0.000

***

Record 13
An optimized crystal structure of Ac8SnPb3, computed with PBE.

Summary:
* formation energy: -3.3 eV per formula unit
* magnetization: 0.05 μB per cell

Lattice parameters (Å, degrees): 8.005 8.005 9.828 114.03 114.03 90.00
Element x y z (fractional)
Pb  0.750  0.250  0.500
Pb  0.250  0.750  0.500
Pb  0.500  0.500  0.000
Ac  0.372  0.876  0.248
Ac  0.876  0.876  0.248
Ac  0.876  0.372  0.248
Ac  0.124  0.628  0.752
Ac  0.628  0.124  0.752
Ac  0.124  0.124  0.752
Ac  0.628  0.628  0.752
Ac  0.372  0.372  0.248
Sn  0.000  0.000  0.000

***

Record 14
An optimized crystal structure of Ac10Sn3Pb3, computed with PBE.

Summary:
* formation energy: -8.8 eV per formula unit
* magnetization: 0.00 μB per cell

Lattice parameters (Å, degrees): 7.407 9.898 9.898 120.00 90.00 90.00
Element x y z (fractional)
Pb  0.000  0.605  0.000
Pb  0.000  0.000  0.605
Pb  0.000  0.395  0.395
Ac  0.254  0.667  0.333
Ac  0.000  0.756  0.756
Ac  0.746  0.333  0.667
Ac  0.500  0.757  0.000
Ac  0.000  0.244  0.000
Ac  0.254  0.333  0.667
Ac  0.500  0.000  0.757
Ac  0.000  0.000  0.244
Ac  0.500  0.243  0.243
Ac  0.746  0.667  0.333
Sn  0.500  0.606  0.606
Sn  0.500  0.000  0.394
Sn  0.500  0.394  0.000

***

Record 15
An optimized crystal structure of Ac4Sn3Pb2, computed with PBE.

Summary:
* formation energy: -3.6 eV per formula unit
* magnetization: 0.00 μB per cell

Lattice parameters (Å, degrees): 7.658 10.783 9.184 90.00 114.64 90.00
Element x y z (fractional)
Ac  0.306  0.480  0.612
Ac  0.282  0.250  0.064
Ac  0.782  0.250  0.064
Ac  0.718  0.750  0.936
Ac  0.694  0.520  0.388
Ac  0.194  0.980  0.388
Ac  0.806  0.020  0.612
Ac  0.218  0.750  0.936
Sn  0.990  0.250  0.481
Sn  0.000  0.000  0.000
Sn  0.510  0.750  0.519
Sn  0.010  0.750  0.519
Sn  0.500  0.500  0.000
Sn  0.490  0.250  0.481
Pb  0.380  0.108  0.760
Pb  0.120  0.608  0.240
Pb  0.880  0.392  0.760
Pb  0.620  0.892  0.240

***

Record 16
An optimized crystal structure of Ac6Sn2Pb, computed with PBE.

Summary:
* formation energy: -3.3 eV per formula unit
* magnetization: 0.00 μB per cell

Lattice parameters (Å, degrees): 6.284 6.403 9.884 81.03 71.47 60.62
Element x y z (fractional)
Ac  0.654  0.191  0.500
Ac  0.013  0.810  0.164
Ac  0.346  0.809  0.500
Ac  0.987  0.190  0.836
Ac  0.323  0.191  0.164
Ac  0.677  0.809  0.836
Pb  0.000  0.500  0.500
Sn  0.334  0.500  0.832
Sn  0.666  0.500  0.168

***

Record 17
An optimized crystal structure of Ac2Sn3Pb, computed with PBE.

Summary:
* formation energy: -1.8 eV per formula unit
* magnetization: 0.00 μB per cell

Lattice parameters (Å, degrees): 5.776 6.746 7.042 118.62 114.21 90.00
Element x y z (fractional)
Sn  0.000  0.000  0.000
Sn  0.641  0.641  0.282
Sn  0.359  0.359  0.718
Ac  0.317  0.817  0.634
Ac  0.683  0.183  0.366
Pb  0.000  0.500  0.000

***

Record 18
An optimized crystal structure of Ac7Sn5Pb, computed with PBE.

Summary:
* formation energy: -6.0 eV per formula unit
* magnetization: 0.00 μB per cell

Lattice parameters (Å, degrees): 6.698 9.102 9.102 84.63 68.41 68.41
Element x y z (fractional)
Ac  0.004  0.322  0.671
Ac  0.286  0.214  0.214
Ac  0.641  0.359  0.359
Ac  0.532  0.805  0.131
Ac  0.532  0.131  0.805
Ac  0.004  0.671  0.322
Ac  0.237  0.763  0.763
Sn  0.775  0.725  0.725
Sn  0.508  0.481  0.994
Sn  0.017  0.994  0.481
Sn  0.017  0.481  0.994
Sn  0.508  0.994  0.481
Pb  0.941  0.059  0.059

***

Record 19
An optimized crystal structure of AcSn2Pb, computed with PBE.

Summary:
* E above lowest polymorph: 132 meV per atom
* formation energy: -1.3 eV per formula unit
* magnetization: 0.00 μB per cell

Lattice parameters (Å, degrees): 4.226 4.226 7.061 90.00 90.00 90.00
Element x y z (fractional)
Sn  0.000  0.000  0.285
Sn  0.000  0.000  0.715
Pb  0.500  0.500  0.500
Ac  0.500  0.500  0.000

***

Record 20
An optimized crystal structure of Ac12Sn2Pb5, computed with PBE.

Summary:
* formation energy: -5.5 eV per formula unit
* magnetization: 0.01 μB per cell

Lattice parameters (Å, degrees): 8.181 10.631 10.743 103.56 90.00 112.63
Element x y z (fractional)
Pb  0.700  0.400  0.363
Pb  0.321  0.641  0.167
Pb  0.000  0.000  0.500
Pb  0.679  0.359  0.833
Pb  0.300  0.600  0.637
Ac  0.505  0.010  0.289
Ac  0.573  0.658  0.903
Ac  0.915  0.342  0.097
Ac  0.393  0.298  0.569
Ac  0.495  0.990  0.711
Ac  0.427  0.342  0.097
Ac  0.016  0.033  0.819
Ac  0.085  0.658  0.903
Ac  0.095  0.702  0.431
Ac  0.984  0.967  0.181
Ac  0.905  0.298  0.569
Ac  0.607  0.702  0.431
Sn  0.679  0.000  0.000
Sn  0.321  0.000  0.000

***

The following calculated volume values (in Å³/cell) correspond, in order, to the records above: 586.4 472.0 430.0 230.2 428.2 292.2 447.9 554.9 356.2 574.2 407.2 451.0 514.9 628.5 689.4 328.6 212.9 479.2 126.1 834.1.